DFT (PBE) results for an optimized crystal structure of Rb3HgP2O8.

Geometry as POSCAR:
```
Rb3HgP2O8
1.0
-5.718 0.972 -1.012
1.658 -4.437 3.497
-0.290 4.861 6.306
O Rb Hg P
8 3 1 2
Direct
0.375 0.188 0.682
0.812 0.625 0.682
0.667 0.333 0.936
0.812 0.188 0.682
0.188 0.375 0.318
0.625 0.812 0.318
0.188 0.812 0.318
0.333 0.667 0.064
0.333 0.667 0.711
0.000 0.000 0.000
0.667 0.333 0.289
0.000 0.000 0.500
0.333 0.667 0.258
0.667 0.333 0.742
```

- DOS at the Fermi energy: 7.6 states/eV/f.u.
- Formation energy (no corrections): -1.818 eV/atom
- Calculated total energy: -5.65 eV per atom
- Total magnetic moment: 1.07 μB/f.u.
- Space-group type: P-3m1, No. 164